[1]
The following is a GGA-PBEsol calculation of an optimized crystal structure of Ag2Te, from Alexandria.

Properties
Space group = Cmmm (65)
M_tot = 0.00 μB/f.u.
Energy relative to the elements, uncorrected = 49 meV/atom

```
Ag2Te
1.0
2.142 -6.821 0.000
2.142 6.821 0.000
0.000 0.000 4.194
Ag Te
4 2
direct
0.000 0.000 0.000
0.154 0.846 0.500
0.500 0.500 0.500
0.846 0.154 0.500
0.349 0.651 0.000
0.651 0.349 0.000
```

[2]
The following is a GGA-PBEsol calculation of an optimized crystal structure of AgTe, from Alexandria.

Properties
Space group = Cm (8)
M_tot = 0.00 μB/f.u.
Energy relative to the elements, uncorrected = 64 meV/atom

```
AgTe
1.0
6.972 -1.579 0.000
6.972 1.579 0.000
-3.529 0.000 6.592
Ag Te
3 3
direct
0.000 0.000 0.000
0.531 0.531 0.717
0.866 0.866 0.386
0.211 0.211 0.013
0.316 0.316 0.675
0.541 0.541 0.354
```

[3]
The following is a GGA-PBEsol calculation of an optimized crystal structure of Ag4Te, from Alexandria.

Properties
Space group = P-3m1 (164)
M_tot = 0.00 μB/f.u.
Energy relative to the elements, uncorrected = 296 meV/atom

```
Ag4Te
1.0
2.953 0.000 0.000
-1.477 2.558 0.000
0.000 0.000 13.105
Ag Te
4 1
direct
0.333 0.667 0.209
0.333 0.667 0.413
0.667 0.333 0.587
0.667 0.333 0.791
0.000 0.000 0.000
```

[4]
The following is a GGA-PBEsol calculation of an optimized crystal structure of AgTe, from Alexandria.

Properties
Space group = R-3m (166)
M_tot = 0.00 μB/f.u.
Energy relative to the elements, uncorrected = 43 meV/atom

```
AgTe
1.0
2.125 1.227 6.430
-2.125 1.227 6.430
0.000 -2.454 6.430
Ag Te
2 2
direct
0.127 0.127 0.127
0.873 0.873 0.873
0.274 0.274 0.274
0.726 0.726 0.726
```

[5]
The following is a GGA-PBEsol calculation of an optimized crystal structure of Ag2Te, from Alexandria.

Properties
Space group = R3m (160)
M_tot = 0.00 μB/f.u.
Energy relative to the elements, uncorrected = 21 meV/atom

```
Ag2Te
1.0
2.293 1.324 3.754
-2.293 1.324 3.754
0.000 -2.648 3.754
Ag Te
2 1
direct
0.000 0.000 0.000
0.250 0.250 0.250
0.751 0.751 0.751
```

[6]
The following is a GGA-PBEsol calculation of an optimized crystal structure of AgTe, from Alexandria.

Properties
Space group = P-62m (189)
M_tot = 0.00 μB/f.u.
Energy relative to the elements, uncorrected = 33 meV/atom

```
AgTe
1.0
7.575 0.000 0.000
-3.787 6.560 0.000
0.000 0.000 3.163
Ag Te
3 3
direct
0.000 0.638 0.000
0.362 0.362 0.000
0.638 0.000 0.000
0.000 0.000 0.000
0.333 0.667 0.500
0.667 0.333 0.500
```

[7]
The following is a GGA-PBEsol calculation of an optimized crystal structure of AgTe, from Alexandria.

Properties
Space group = Fd-3m (227)
M_tot = 0.00 μB/f.u.
Energy relative to the elements, uncorrected = 362 meV/atom

```
AgTe
1.0
0.000 3.564 3.564
3.564 0.000 3.564
3.564 3.564 0.000
Ag Te
2 2
direct
0.125 0.125 0.125
0.875 0.875 0.875
0.375 0.375 0.375
0.625 0.625 0.625
```

[8]
The following is a GGA-PBEsol calculation of an optimized crystal structure of AgTe, from Alexandria.

Properties
Space group = R-3m (166)
M_tot = 0.00 μB/f.u.
Energy relative to the elements, uncorrected = 161 meV/atom

```
AgTe
1.0
1.601 0.925 10.420
-1.601 0.925 10.420
0.000 -1.849 10.420
Ag Te
2 2
direct
0.132 0.132 0.132
0.868 0.868 0.868
0.391 0.391 0.391
0.609 0.609 0.609
```

[9]
The following is a GGA-PBEsol calculation of an optimized crystal structure of AgTe3, from Alexandria.

Properties
Space group = P4/mmm (123)
M_tot = 0.00 μB/f.u.
Energy relative to the elements, uncorrected = 79 meV/atom

```
AgTe3
1.0
3.086 0.000 0.000
0.000 3.086 0.000
0.000 0.000 12.248
Ag Te
1 3
direct
0.000 0.000 0.000
0.000 0.000 0.217
0.000 0.000 0.500
0.000 0.000 0.783
```

[10]
The following is a GGA-PBEsol calculation of an optimized crystal structure of Ag2Te, from Alexandria.

Properties
Space group = P4/nmm (129)
M_tot = 0.00 μB/f.u.
Energy relative to the elements, uncorrected = -24 meV/atom

```
Ag2Te
1.0
4.337 0.000 0.000
0.000 4.337 0.000
0.000 0.000 6.764
Ag Te
4 2
direct
0.250 0.250 0.216
0.250 0.750 0.500
0.750 0.250 0.500
0.750 0.750 0.784
0.250 0.250 0.794
0.750 0.750 0.206
```

[11]
The following is a GGA-PBEsol calculation of an optimized crystal structure of AgTe3, from Alexandria.

Properties
Space group = Pmmn (59)
M_tot = 0.00 μB/f.u.
Energy relative to the elements, uncorrected = 49 meV/atom

```
AgTe3
1.0
8.223 0.000 0.000
0.000 11.149 0.000
0.000 0.000 7.097
Ag Te
6 18
direct
0.250 0.065 0.157
0.250 0.435 0.157
0.250 0.750 0.507
0.750 0.250 0.493
0.750 0.565 0.843
0.750 0.935 0.843
0.014 0.582 0.340
0.014 0.918 0.340
0.023 0.250 0.027
0.250 0.250 0.430
0.250 0.575 0.826
0.250 0.925 0.826
0.477 0.250 0.027
0.486 0.582 0.340
0.486 0.918 0.340
0.514 0.082 0.660
0.514 0.418 0.660
0.523 0.750 0.973
0.750 0.075 0.174
0.750 0.425 0.174
0.750 0.750 0.570
0.977 0.750 0.973
0.986 0.082 0.660
0.986 0.418 0.660
```

[12]
The following is a GGA-PBEsol calculation of an optimized crystal structure of AgTe, from Alexandria.

Properties
Space group = P2_1/m (11)
M_tot = 0.00 μB/f.u.
Energy relative to the elements, uncorrected = -15 meV/atom

```
AgTe
1.0
3.083 0.000 0.000
0.000 4.457 0.000
-0.055 0.000 7.140
Ag Te
2 2
direct
0.249 0.250 0.431
0.751 0.750 0.569
0.245 0.750 0.198
0.755 0.250 0.802
```